No. 1
TaAs4Cl: relaxed, PBE.

a b c (Å): 5.477 5.477 5.477
angles (deg): 60.00 60.00 60.00
Positions (direct):
Ta1 0.000 0.000 0.000
As1 0.879 0.374 0.374
As2 0.374 0.374 0.879
As3 0.374 0.879 0.374
As4 0.374 0.374 0.374
Cl1 0.750 0.750 0.750

* crystal system: cubic
* total magnetization: 0.001 μB per atom
* symmetry: F-43m
* formation energy (no corrections): 3.49 eV per formula unit



No. 2
Ho2TmTe: relaxed, PBE.

a b c (Å): 6.362 9.795 14.804
angles (deg): 90.00 90.00 90.00
Positions (direct):
Ho1 0.031 0.034 0.218
Ho2 0.531 0.966 0.282
Ho3 0.969 0.534 0.782
Ho4 0.469 0.466 0.718
Ho5 0.969 0.966 0.782
Ho6 0.469 0.034 0.718
Ho7 0.031 0.466 0.218
Ho8 0.531 0.534 0.282
Ho9 0.738 0.539 0.030
Ho10 0.238 0.461 0.470
Ho11 0.262 0.039 0.970
Ho12 0.762 0.961 0.530
Ho13 0.262 0.461 0.970
Ho14 0.762 0.539 0.530
Ho15 0.738 0.961 0.030
Ho16 0.238 0.039 0.470
Tm1 0.527 0.250 0.131
Tm2 0.027 0.750 0.369
Tm3 0.473 0.750 0.869
Tm4 0.973 0.250 0.631
Tm5 0.786 0.250 0.389
Tm6 0.286 0.750 0.111
Tm7 0.214 0.750 0.611
Tm8 0.714 0.250 0.889
Te1 0.302 0.250 0.316
Te2 0.802 0.750 0.184
Te3 0.698 0.750 0.684
Te4 0.198 0.250 0.816
Te5 0.987 0.250 0.066
Te6 0.487 0.750 0.434
Te7 0.013 0.750 0.934
Te8 0.513 0.250 0.566

* crystal system: orthorhombic
* total magnetization: 0.000 μB per atom
* symmetry: Pnma
* formation energy (no corrections): -2.45 eV per formula unit



No. 3
Cs3Sm3AlTe8: relaxed, PBE.

a b c (Å): 8.898 8.899 10.597
angles (deg): 114.83 90.00 120.00
Positions (direct):
Cs1 0.000 0.000 0.000
Cs2 0.000 0.500 0.000
Cs3 0.500 0.500 0.000
Sm1 0.500 0.000 0.500
Sm2 0.500 0.500 0.500
Sm3 0.000 0.500 0.500
Al1 0.000 0.000 0.500
Te1 0.268 0.536 0.304
Te2 0.732 0.464 0.696
Te3 0.786 0.573 0.320
Te4 0.214 0.427 0.680
Te5 0.786 0.033 0.320
Te6 0.214 0.967 0.680
Te7 0.247 0.033 0.320
Te8 0.753 0.967 0.680

* crystal system: trigonal
* total magnetization: 0.000 μB per atom
* symmetry: R-3m
* formation energy (no corrections): -16.66 eV per formula unit



Q: Among the records above, which one has the lowest formation energy (no corrections)?
A: Cs3Sm3AlTe8



Repeat the second record exactly.
Ho2TmTe: relaxed, PBE.

a b c (Å): 6.362 9.795 14.804
angles (deg): 90.00 90.00 90.00
Positions (direct):
Ho1 0.031 0.034 0.218
Ho2 0.531 0.966 0.282
Ho3 0.969 0.534 0.782
Ho4 0.469 0.466 0.718
Ho5 0.969 0.966 0.782
Ho6 0.469 0.034 0.718
Ho7 0.031 0.466 0.218
Ho8 0.531 0.534 0.282
Ho9 0.738 0.539 0.030
Ho10 0.238 0.461 0.470
Ho11 0.262 0.039 0.970
Ho12 0.762 0.961 0.530
Ho13 0.262 0.461 0.970
Ho14 0.762 0.539 0.530
Ho15 0.738 0.961 0.030
Ho16 0.238 0.039 0.470
Tm1 0.527 0.250 0.131
Tm2 0.027 0.750 0.369
Tm3 0.473 0.750 0.869
Tm4 0.973 0.250 0.631
Tm5 0.786 0.250 0.389
Tm6 0.286 0.750 0.111
Tm7 0.214 0.750 0.611
Tm8 0.714 0.250 0.889
Te1 0.302 0.250 0.316
Te2 0.802 0.750 0.184
Te3 0.698 0.750 0.684
Te4 0.198 0.250 0.816
Te5 0.987 0.250 0.066
Te6 0.487 0.750 0.434
Te7 0.013 0.750 0.934
Te8 0.513 0.250 0.566

* crystal system: orthorhombic
* total magnetization: 0.000 μB per atom
* symmetry: Pnma
* formation energy (no corrections): -2.45 eV per formula unit



Q: formation energy (no corrections) of number 1 (TaAs4Cl)?
A: 3.49 eV per formula unit